Entry 1:
# ScBe3P

A relaxed ScBe3P crystal (PBE, Alexandria).

* formation energy from the elements: 2.005 eV per atom
* magnetic moment: 0.95 μB per cell
* polymorph energy (0 for the lowest one): 1573 meV/atom

a = 4.6666 Å, b = 4.6666 Å, c = 4.6666 Å
α = 90.00°, β = 90.00°, γ = 90.00°
Space group Pm-3m (No. 221)
One atom of each set of equivalent atoms:
Sc 0.0000 0.0000 0.0000 [1 per cell]
Be 0.0000 0.0000 0.5000 [3 per cell]
P 0.5000 0.5000 0.5000 [1 per cell]


Entry 2:
# Ca2CoOs

A relaxed Ca2CoOs crystal (PBE, Alexandria).

* formation energy from the elements: 0.234 eV per atom
* magnetic moment: 0.00 μB per cell
* polymorph energy (0 for the lowest one): 102 meV/atom

a = 4.5310 Å, b = 4.0671 Å, c = 5.5468 Å
α = 90.00°, β = 114.03°, γ = 90.00°
Space group Pm (No. 6)
One atom of each set of equivalent atoms:
Ca 0.0000 0.0000 0.0000 [1 per cell]
Ca 0.2846 0.5000 0.5701 [1 per cell]
Co 0.6881 0.0000 0.3772 [1 per cell]
Os 0.5948 0.5000 0.1896 [1 per cell]


Entry 3:
# Zn2RuSF

A relaxed Zn2RuSF crystal (PBE, Alexandria).

* uncorrected formation energy: 283 meV per atom
* magnetic moment: 1.75 μB per cell

a = 3.9401 Å, b = 3.9401 Å, c = 5.0810 Å
α = 90.00°, β = 90.00°, γ = 90.00°
Space group P4/mmm (No. 123)
One atom of each set of equivalent atoms:
Zn 0.0000 0.5000 0.0000 [2 per cell]
Ru 0.0000 0.0000 0.5000 [1 per cell]
S 0.5000 0.5000 0.5000 [1 per cell]
F 0.5000 0.5000 0.0000 [1 per cell]


Entry 4:
# Cs2Tl2Hg4Pt

A relaxed Cs2Tl2Hg4Pt crystal (PBE, Alexandria).

* formation energy from the elements: -0.144 eV per atom
* magnetic moment: 0.00 μB per cell

a = 8.0786 Å, b = 8.0786 Å, c = 9.3383 Å
α = 90.00°, β = 90.00°, γ = 90.00°
Space group I4/mmm (No. 139)
One atom of each set of equivalent atoms:
Cs 0.0000 0.5000 0.2500 [4 per cell]
Tl 0.0000 0.0000 0.1887 [4 per cell]
Hg 0.2443 0.2443 0.5000 [8 per cell]
Pt 0.0000 0.0000 0.5000 [2 per cell]


Entry 5:
# Hf4CuRu3

A relaxed Hf4CuRu3 crystal (PBE, Alexandria).

* formation energy from the elements: -0.630 eV per atom
* magnetic moment: 0.00 μB per cell

a = 3.2189 Å, b = 4.6043 Å, c = 9.2372 Å
α = 90.00°, β = 90.00°, γ = 90.00°
Space group Pmmm (No. 47)
One atom of each set of equivalent atoms:
Hf 0.0000 0.0000 0.0000 [1 per cell]
Hf 0.0000 0.0000 0.5000 [1 per cell]
Hf 0.0000 0.5000 0.2492 [2 per cell]
Cu 0.5000 0.5000 0.5000 [1 per cell]
Ru 0.5000 0.0000 0.2492 [2 per cell]
Ru 0.5000 0.5000 0.0000 [1 per cell]


Entry 6:
# KMgIr3

A relaxed KMgIr3 crystal (PBE, Alexandria).

* formation energy from the elements: 2.663 eV per atom
* magnetic moment: 1.03 μB per cell
* polymorph energy (0 for the lowest one): 1106 meV/atom

a = 4.7280 Å, b = 4.7280 Å, c = 4.7280 Å
α = 90.00°, β = 90.00°, γ = 90.00°
Space group Pm-3m (No. 221)
One atom of each set of equivalent atoms:
K 0.0000 0.0000 0.0000 [1 per cell]
Mg 0.5000 0.5000 0.5000 [1 per cell]
Ir 0.0000 0.0000 0.5000 [3 per cell]


Entry 7:
# NpGa3Fe

A relaxed NpGa3Fe crystal (PBE, Alexandria).

* formation energy from the elements: -0.058 eV per atom
* magnetic moment: 5.37 μB per cell

a = 4.5413 Å, b = 4.5413 Å, c = 4.5413 Å
α = 90.00°, β = 90.00°, γ = 90.00°
Space group Pm-3m (No. 221)
One atom of each set of equivalent atoms:
Np 0.0000 0.0000 0.0000 [1 per cell]
Ga 0.0000 0.5000 0.5000 [3 per cell]
Fe 0.5000 0.5000 0.5000 [1 per cell]


Entry 8:
# InSbBr2

A relaxed InSbBr2 crystal (PBE, Alexandria).

* uncorrected formation energy: -174 meV per atom
* magnetic moment: 0.00 μB per cell
* polymorph energy (0 for the lowest one): 175 meV/atom

a = 3.6403 Å, b = 6.0914 Å, c = 5.6427 Å
α = 90.00°, β = 90.00°, γ = 90.00°
Space group Pmm2 (No. 25)
One atom of each set of equivalent atoms:
In 0.0000 0.0000 0.0000 [1 per cell]
Sb 0.5000 0.5000 0.0205 [1 per cell]
Br 0.0000 0.0000 0.4933 [1 per cell]
Br 0.5000 0.5000 0.5716 [1 per cell]


Entry 9:
# TlSi2Bi

A relaxed TlSi2Bi crystal (PBE, Alexandria).

* uncorrected formation energy: 489 meV per atom
* magnetic moment: 0.00 μB per cell
* polymorph energy (0 for the lowest one): 0 meV/atom

a = 6.2719 Å, b = 6.2719 Å, c = 12.5176 Å
α = 90.00°, β = 90.00°, γ = 90.00°
Space group I-42d (No. 122)
One atom of each set of equivalent atoms:
Tl 0.0000 0.0000 0.0000 [4 per cell]
Si 0.2394 0.2500 0.1250 [8 per cell]
Bi 0.0000 0.0000 0.5000 [4 per cell]


Entry 10:
# YBeCuCl2

A relaxed YBeCuCl2 crystal (PBE, Alexandria).

* uncorrected formation energy: 224 meV per atom
* magnetic moment: 0.00 μB per cell

a = 4.5627 Å, b = 4.5627 Å, c = 5.7386 Å
α = 90.00°, β = 90.00°, γ = 90.00°
Space group P4/mmm (No. 123)
One atom of each set of equivalent atoms:
Y 0.0000 0.0000 0.0000 [1 per cell]
Be 0.5000 0.5000 0.0000 [1 per cell]
Cu 0.0000 0.0000 0.5000 [1 per cell]
Cl 0.0000 0.5000 0.5000 [2 per cell]


Entry 11:
# Ca2Re4Mo

A relaxed Ca2Re4Mo crystal (PBE, Alexandria).

* formation energy from the elements: 1.826 eV per atom
* magnetic moment: 5.06 μB per cell

a = 4.7593 Å, b = 4.7593 Å, c = 14.8560 Å
α = 90.00°, β = 90.00°, γ = 90.00°
Space group I4/mmm (No. 139)
One atom of each set of equivalent atoms:
Ca 0.0000 0.0000 0.1401 [4 per cell]
Re 0.0000 0.0000 0.3409 [4 per cell]
Re 0.0000 0.5000 0.0000 [4 per cell]
Mo 0.0000 0.0000 0.5000 [2 per cell]


Entry 12:
# MgMnS2

A relaxed MgMnS2 crystal (PBE, Alexandria).

* uncorrected formation energy: -574 meV per atom
* magnetic moment: 0.00 μB per cell

a = 5.3897 Å, b = 5.3897 Å, c = 10.5841 Å
α = 90.00°, β = 90.00°, γ = 90.00°
Space group I-42d (No. 122)
One atom of each set of equivalent atoms:
Mg 0.0000 0.0000 0.0000 [4 per cell]
Mn 0.0000 0.0000 0.5000 [4 per cell]
S 0.2044 0.2500 0.6250 [8 per cell]


Entry 13:
# GdMgTi

A relaxed GdMgTi crystal (PBE, Alexandria).

* formation energy from the elements: 0.139 eV per atom
* magnetic moment: 13.88 μB per cell

a = 3.2757 Å, b = 3.2757 Å, c = 13.2147 Å
α = 90.00°, β = 90.00°, γ = 90.00°
Space group I4mm (No. 107)
One atom of each set of equivalent atoms:
Gd 0.0000 0.0000 0.0000 [2 per cell]
Mg 0.0000 0.0000 0.6930 [2 per cell]
Ti 0.0000 0.0000 0.3388 [2 per cell]


Entry 14:
# Dy6Er4Tm19

A relaxed Dy6Er4Tm19 crystal (PBE, Alexandria).

* formation energy from the elements: 0.391 eV per atom
* magnetic moment: 0.00 μB per cell

a = 12.2738 Å, b = 12.2738 Å, c = 12.2738 Å
α = 90.00°, β = 90.00°, γ = 90.00°
Space group I23 (No. 197)
One atom of each set of equivalent atoms:
Dy 0.0000 0.1293 0.5000 [12 per cell]
Er 0.1785 0.1785 0.1785 [8 per cell]
Tm 0.0000 0.0000 0.0000 [2 per cell]
Tm 0.0000 0.0000 0.2613 [12 per cell]
Tm 0.0643 0.2760 0.7400 [24 per cell]


Entry 15:
# Pa6CuS12

A relaxed Pa6CuS12 crystal (PBE, Alexandria).

* uncorrected formation energy: -1443 meV per atom
* magnetic moment: 21.18 μB per cell

a = 11.9767 Å, b = 11.9767 Å, c = 10.7839 Å
α = 90.00°, β = 90.00°, γ = 120.00°
Space group R-3 (No. 148, hexagonal axes)
One atom of each set of equivalent atoms:
Pa 0.0554 0.7816 0.1522 [18 per cell]
Cu 0.0000 0.0000 0.5000 [3 per cell]
S 0.0371 0.8216 0.8927 [18 per cell]
S 0.0465 0.8437 0.3913 [18 per cell]


Entry 16:
# La8BiIr2

A relaxed La8BiIr2 crystal (PBE, Alexandria).

* formation energy from the elements: -0.452 eV per atom
* magnetic moment: 0.00 μB per cell

a = 8.9276 Å, b = 14.2640 Å, c = 5.7368 Å
α = 90.00°, β = 103.17°, γ = 90.00°
Space group C2/m (No. 12)
One atom of each set of equivalent atoms:
La 0.0000 0.2487 0.0000 [4 per cell]
La 0.0939 0.0000 0.7979 [4 per cell]
La 0.2064 0.3755 0.5535 [8 per cell]
Bi 0.0000 0.5000 0.0000 [2 per cell]
Ir 0.0000 0.2105 0.5000 [4 per cell]


Entry 17:
# Sc2CoNi

A relaxed Sc2CoNi crystal (PBE, Alexandria).

* formation energy from the elements: -0.428 eV per atom
* magnetic moment: 0.00 μB per cell

a = 6.2921 Å, b = 6.2921 Å, c = 6.2921 Å
α = 90.00°, β = 90.00°, γ = 90.00°
Space group Fm-3m (No. 225)
One atom of each set of equivalent atoms:
Sc 0.2500 0.2500 0.2500 [8 per cell]
Co 0.0000 0.0000 0.0000 [4 per cell]
Ni 0.0000 0.0000 0.5000 [4 per cell]


Entry 18:
# FeNiIr4

A relaxed FeNiIr4 crystal (PBE, Alexandria).

* formation energy from the elements: -0.019 eV per atom
* magnetic moment: 1.96 μB per cell
* polymorph energy (0 for the lowest one): 0 meV/atom

a = 2.7192 Å, b = 3.7401 Å, c = 7.9782 Å
α = 90.00°, β = 90.00°, γ = 90.00°
Space group Pmmm (No. 47)
One atom of each set of equivalent atoms:
Fe 0.0000 0.0000 0.0000 [1 per cell]
Ni 0.5000 0.5000 0.5000 [1 per cell]
Ir 0.0000 0.0000 0.3353 [2 per cell]
Ir 0.5000 0.5000 0.1650 [2 per cell]


Entry 19:
# Cs2RbBa2

A relaxed Cs2RbBa2 crystal (PBE, Alexandria).

* formation energy from the elements: 0.261 eV per atom
* magnetic moment: 0.00 μB per cell
* polymorph energy (0 for the lowest one): 39 meV/atom

a = 13.3962 Å, b = 13.3962 Å, c = 4.9318 Å
α = 90.00°, β = 90.00°, γ = 90.00°
Space group P4/mbm (No. 127)
One atom of each set of equivalent atoms:
Cs 0.1290 0.3710 0.0000 [4 per cell]
Rb 0.0000 0.0000 0.0000 [2 per cell]
Ba 0.1678 0.6678 0.5000 [4 per cell]


Entry 20:
# TiH9S2O12

A relaxed TiH9S2O12 crystal (PBE, Alexandria).

* magnetic moment: 4.00 μB per cell
* E_tot: -5.75 eV/atom

a = 9.8749 Å, b = 18.4997 Å, c = 5.5843 Å
α = 90.00°, β = 90.00°, γ = 90.00°
Space group Pnma (No. 62)
One atom of each set of equivalent atoms:
Ti 0.0000 0.0000 0.0000 [4 per cell]
H 0.0277 0.2500 0.0582 [4 per cell]
H 0.0753 0.1028 0.3299 [8 per cell]
H 0.0854 0.6003 0.6522 [8 per cell]
H 0.1553 0.7065 0.9545 [8 per cell]
H 0.1937 0.2056 0.0045 [8 per cell]
S 0.2388 0.0925 0.7187 [8 per cell]
O 0.0078 0.5882 0.7570 [8 per cell]
O 0.0997 0.0633 0.7709 [8 per cell]
O 0.1004 0.7500 0.9154 [4 per cell]
O 0.1446 0.2500 0.0612 [4 per cell]
O 0.1717 0.5281 0.1810 [8 per cell]
O 0.2114 0.6347 0.4259 [8 per cell]
O 0.2271 0.1369 0.5002 [8 per cell]